# 1
## CaV2ReSb (GGA-PBE)

Data for a relaxed structure of CaV2ReSb.

a b c (Å): 4.599 4.599 5.535
angles (deg): 90.00 90.00 90.00
Fractional positions:
1 Ca 0.000 0.000 0.000
2 V 0.000 0.500 0.500
3 V 0.500 0.000 0.500
4 Re 0.000 0.000 0.500
5 Sb 0.500 0.500 0.000

Summary:
E_form (uncorrected): 0.847 eV/atom
crystal system: tetragonal

# 2
## PuZr2Cd (GGA-PBE)

Data for a relaxed structure of PuZr2Cd.

a b c (Å): 5.060 5.060 5.060
angles (deg): 60.00 60.00 60.00
Fractional positions:
1 Pu 0.000 0.000 0.000
2 Zr 0.250 0.250 0.250
3 Zr 0.750 0.750 0.750
4 Cd 0.500 0.500 0.500

Summary:
offset from the most stable computed form: 50 kJ/mol of formula units
crystal system: cubic
energy of formation from the pure elements: 13.1 kJ/mol of atoms

# 3
## CaMg5Cd7 (GGA-PBE)

Data for a relaxed structure of CaMg5Cd7.

a b c (Å): 7.678 7.678 7.678
angles (deg): 133.71 97.90 99.87
Fractional positions:
1 Ca 0.000 0.000 0.000
2 Mg 0.002 0.500 0.005
3 Mg 0.002 0.996 0.502
4 Mg 0.494 0.500 0.498
5 Mg 0.494 0.996 0.995
6 Mg 0.778 0.278 0.500
7 Cd 0.206 0.495 0.711
8 Cd 0.214 0.714 0.500
9 Cd 0.349 0.349 0.000
10 Cd 0.350 0.001 0.349
11 Cd 0.653 0.001 0.651
12 Cd 0.659 0.659 0.000
13 Cd 0.784 0.495 0.289

Summary:
crystal system: orthorhombic
energy of formation from the pure elements: -13.3 kJ/mol of atoms

# 4
## Tb3SmEr2Se6 (GGA-PBE)

Data for a relaxed structure of Tb3SmEr2Se6.

a b c (Å): 7.086 7.086 7.089
angles (deg): 99.54 99.54 120.28
Fractional positions:
1 Tb 0.000 0.000 0.000
2 Tb 0.340 0.660 0.000
3 Tb 0.660 0.340 0.000
4 Sm 0.500 0.500 0.500
5 Er 0.166 0.834 0.500
6 Er 0.834 0.166 0.500
7 Se 0.074 0.417 0.250
8 Se 0.240 0.240 0.745
9 Se 0.417 0.074 0.250
10 Se 0.583 0.926 0.750
11 Se 0.760 0.760 0.255
12 Se 0.926 0.583 0.750

Summary:
E_form (uncorrected): -1.756 eV/atom
crystal system: monoclinic

# 5
## SrZn12Ga7 (GGA-PBE)

Data for a relaxed structure of SrZn12Ga7.

a b c (Å): 8.358 8.358 8.358
angles (deg): 113.77 113.77 113.77
Fractional positions:
1 Sr 0.000 0.000 0.000
2 Zn 0.000 0.265 0.735
3 Zn 0.000 0.735 0.265
4 Zn 0.059 0.400 0.400
5 Zn 0.265 0.000 0.735
6 Zn 0.265 0.735 0.000
7 Zn 0.400 0.059 0.400
8 Zn 0.400 0.400 0.059
9 Zn 0.600 0.600 0.941
10 Zn 0.600 0.941 0.600
11 Zn 0.735 0.000 0.265
12 Zn 0.735 0.265 0.000
13 Zn 0.941 0.600 0.600
14 Ga 0.192 0.192 0.533
15 Ga 0.192 0.533 0.192
16 Ga 0.467 0.808 0.808
17 Ga 0.500 0.500 0.500
18 Ga 0.533 0.192 0.192
19 Ga 0.808 0.467 0.808
20 Ga 0.808 0.808 0.467

Summary:
crystal system: trigonal
energy of formation from the pure elements: 0.0 kJ/mol of atoms

# 6
## YTi2CoCl (GGA-PBE)

Data for a relaxed structure of YTi2CoCl.

a b c (Å): 4.513 4.513 5.173
angles (deg): 90.00 90.00 90.00
Fractional positions:
1 Y 0.000 0.000 0.000
2 Ti 0.000 0.500 0.500
3 Ti 0.500 0.000 0.500
4 Co 0.500 0.500 0.500
5 Cl 0.500 0.500 0.000

Summary:
E_form (uncorrected): 0.361 eV/atom
crystal system: tetragonal

# 7
## TePt2Rh (GGA-PBE)

Data for a relaxed structure of TePt2Rh.

a b c (Å): 4.922 4.922 4.922
angles (deg): 130.15 130.15 73.16
Fractional positions:
1 Te 0.000 0.000 0.000
2 Pt 0.250 0.750 0.500
3 Pt 0.500 0.500 0.000
4 Rh 0.750 0.250 0.500

Summary:
offset from the most stable computed form: 30 kJ/mol of formula units
E_form (uncorrected): 0.058 eV/atom
crystal system: tetragonal

# 8
## RbCdH2I3O (GGA-PBE)

Data for a relaxed structure of RbCdH2I3O.

a b c (Å): 7.885 7.885 8.681
angles (deg): 90.05 90.05 86.91
Fractional positions:
1 Rb 0.141 0.859 0.500
2 Rb 0.859 0.141 0.000
3 Cd 0.576 0.646 0.145
4 Cd 0.646 0.576 0.645
5 H 0.073 0.790 0.890
6 H 0.220 0.910 0.901
7 H 0.790 0.073 0.390
8 H 0.910 0.220 0.401
9 I 0.425 0.973 0.143
10 I 0.443 0.456 0.396
11 I 0.456 0.443 0.896
12 I 0.621 0.931 0.641
13 I 0.931 0.621 0.141
14 I 0.973 0.425 0.643
15 O 0.116 0.892 0.843
16 O 0.892 0.116 0.343

Summary:
crystal system: monoclinic
energy: -3.2677 eV/atom

# 9
## Ti3AuN (GGA-PBE)

Data for a relaxed structure of Ti3AuN.

a b c (Å): 2.999 5.299 5.299
angles (deg): 69.18 90.00 90.00
Fractional positions:
1 Ti 0.000 0.000 0.000
2 Ti 0.500 0.008 0.476
3 Ti 0.500 0.476 0.008
4 Au 0.000 0.496 0.496
5 N 0.500 0.860 0.860

Summary:
E_form (uncorrected): -0.586 eV/atom
crystal system: orthorhombic

# 10
## NpNiRh2 (GGA-PBE)

Data for a relaxed structure of NpNiRh2.

a b c (Å): 4.032 4.032 3.849
angles (deg): 90.00 90.00 90.00
Fractional positions:
1 Np 0.000 0.000 0.000
2 Ni 0.500 0.500 0.000
3 Rh 0.000 0.500 0.500
4 Rh 0.500 0.000 0.500

Summary:
offset from the most stable computed form: 0 kJ/mol of formula units
crystal system: tetragonal
energy of formation from the pure elements: -33.4 kJ/mol of atoms

# 11
## CaP2Pb (GGA-PBE)

Data for a relaxed structure of CaP2Pb.

a b c (Å): 4.112 4.112 5.774
angles (deg): 90.00 90.00 90.00
Fractional positions:
1 Ca 0.000 0.000 0.000
2 P 0.000 0.000 0.500
3 P 0.500 0.500 0.002
4 Pb 0.500 0.500 0.502

Summary:
crystal system: tetragonal
energy of formation from the pure elements: -25.0 kJ/mol of atoms

# 12
## Sm3Y2Er (GGA-PBE)

Data for a relaxed structure of Sm3Y2Er.

a b c (Å): 7.234 7.235 8.924
angles (deg): 78.20 78.26 60.06
Fractional positions:
1 Sm 0.139 0.138 0.166
2 Sm 0.250 0.750 0.500
3 Sm 0.361 0.862 0.832
4 Sm 0.639 0.138 0.168
5 Sm 0.750 0.250 0.500
6 Sm 0.861 0.862 0.834
7 Y 0.139 0.638 0.169
8 Y 0.360 0.362 0.833
9 Y 0.640 0.638 0.167
10 Y 0.861 0.362 0.831
11 Er 0.250 0.250 0.500
12 Er 0.750 0.750 0.500

Summary:
offset from the most stable computed form: 4 kJ/mol of formula units
crystal system: triclinic
energy of formation from the pure elements: 0.4 kJ/mol of atoms

# 13
## ScCrBi2 (GGA-PBE)

Data for a relaxed structure of ScCrBi2.

a b c (Å): 10.272 10.272 10.272
angles (deg): 152.83 152.83 38.80
Fractional positions:
1 Sc 0.000 0.000 0.000
2 Sc 0.750 0.250 0.500
3 Cr 0.250 0.750 0.500
4 Cr 0.500 0.500 0.000
5 Bi 0.129 0.625 0.004
6 Bi 0.375 0.379 0.504
7 Bi 0.621 0.125 0.996
8 Bi 0.875 0.871 0.496

Summary:
offset from the most stable computed form: 12 kJ/mol of formula units
crystal system: tetragonal
energy of formation from the pure elements: 28.4 kJ/mol of atoms

# 14
## Pr6GeOs2Cl3 (GGA-PBE)

Data for a relaxed structure of Pr6GeOs2Cl3.

a b c (Å): 7.307 7.307 7.862
angles (deg): 98.91 98.91 120.13
Fractional positions:
1 Pr 0.079 0.432 0.791
2 Pr 0.218 0.218 0.210
3 Pr 0.432 0.079 0.791
4 Pr 0.568 0.921 0.209
5 Pr 0.782 0.782 0.790
6 Pr 0.921 0.568 0.209
7 Ge 0.500 0.500 0.000
8 Os 0.166 0.834 0.000
9 Os 0.834 0.166 0.000
10 Cl 0.000 0.000 0.500
11 Cl 0.334 0.666 0.500
12 Cl 0.666 0.334 0.500

Summary:
E_form (uncorrected): -0.916 eV/atom
crystal system: monoclinic

# 15
## AcSm2Te (GGA-PBE)

Data for a relaxed structure of AcSm2Te.

a b c (Å): 3.965 3.965 8.338
angles (deg): 90.00 90.00 90.00
Fractional positions:
1 Ac 0.000 0.000 0.000
2 Sm 0.500 0.500 0.289
3 Sm 0.500 0.500 0.711
4 Te 0.000 0.000 0.500

Summary:
offset from the most stable computed form: 0 kJ/mol of formula units
E_form (uncorrected): -0.607 eV/atom
crystal system: tetragonal

# 16
## Ac8Pm5Tm (GGA-PBE)

Data for a relaxed structure of Ac8Pm5Tm.

a b c (Å): 9.024 9.086 9.264
angles (deg): 62.48 61.53 87.08
Fractional positions:
1 Ac 0.000 0.000 0.000
2 Ac 0.065 0.690 0.385
3 Ac 0.185 0.186 0.222
4 Ac 0.319 0.691 0.925
5 Ac 0.387 0.346 0.436
6 Ac 0.488 0.834 0.325
7 Ac 0.599 0.507 0.651
8 Ac 0.798 0.765 0.839
9 Pm 0.125 0.469 0.796
10 Pm 0.474 0.058 0.890
11 Pm 0.690 0.288 0.026
12 Pm 0.711 0.032 0.458
13 Pm 0.867 0.471 0.229
14 Tm 0.902 0.238 0.627

Summary:
crystal system: triclinic
energy of formation from the pure elements: 12.5 kJ/mol of atoms

# 17
## Sc3Cd2Ir (GGA-PBE)

Data for a relaxed structure of Sc3Cd2Ir.

a b c (Å): 7.515 7.515 7.124
angles (deg): 90.00 90.00 142.93
Fractional positions:
1 Sc 0.000 0.000 0.232
2 Sc 0.000 0.000 0.768
3 Sc 0.326 0.674 0.222
4 Sc 0.326 0.674 0.778
5 Sc 0.674 0.326 0.222
6 Sc 0.674 0.326 0.778
7 Cd 0.165 0.835 0.500
8 Cd 0.500 0.500 0.000
9 Cd 0.500 0.500 0.500
10 Cd 0.835 0.165 0.500
11 Ir 0.162 0.838 0.000
12 Ir 0.838 0.162 0.000

Summary:
crystal system: orthorhombic
energy of formation from the pure elements: -52.8 kJ/mol of atoms

# 18
## NdPuRh (GGA-PBE)

Data for a relaxed structure of NdPuRh.

a b c (Å): 5.958 4.457 6.083
angles (deg): 90.00 104.47 90.00
Fractional positions:
1 Nd 0.078 0.250 0.277
2 Nd 0.922 0.750 0.723
3 Pu 0.469 0.250 0.827
4 Pu 0.531 0.750 0.173
5 Rh 0.354 0.750 0.567
6 Rh 0.646 0.250 0.433

Summary:
offset from the most stable computed form: 3 kJ/mol of formula units
crystal system: monoclinic
energy of formation from the pure elements: -39.7 kJ/mol of atoms

# 19
## InGa3Rh4 (GGA-PBE)

Data for a relaxed structure of InGa3Rh4.

a b c (Å): 7.121 7.121 7.121
angles (deg): 145.00 145.00 50.33
Fractional positions:
1 In 0.000 0.000 0.000
2 Ga 0.251 0.251 0.000
3 Ga 0.500 0.500 0.000
4 Ga 0.749 0.749 0.000
5 Rh 0.132 0.632 0.500
6 Rh 0.368 0.868 0.500
7 Rh 0.632 0.132 0.500
8 Rh 0.868 0.368 0.500

Summary:
crystal system: tetragonal
energy of formation from the pure elements: -56.4 kJ/mol of atoms

# 20
## ZnTc2Au (GGA-PBE)

Data for a relaxed structure of ZnTc2Au.

a b c (Å): 2.734 2.734 9.252
angles (deg): 90.00 90.00 115.32
Fractional positions:
1 Zn 0.000 0.000 0.000
2 Tc 0.000 0.000 0.473
3 Tc 0.500 0.500 0.244
4 Au 0.500 0.500 0.748

Summary:
crystal system: orthorhombic
energy of formation from the pure elements: 17.5 kJ/mol of atoms